1.
DFT (GGA-PBE) results for a relaxed Na2RuO3 crystal.

Lattice parameters (Å, degrees): 6.459 9.081 18.899 90.00 90.00 90.00
Space group Fddd (No. 70, origin choice 2)
Symmetry-distinct sites (fractional):
Na 0.125 0.125 0.046 [16 per cell]
Na 0.125 0.125 0.370 [16 per cell]
Ru 0.125 0.125 0.541 [16 per cell]
O 0.078 0.375 0.875 [16 per cell]
O 0.103 0.352 0.717 [32 per cell]



2.
DFT (GGA-PBE) results for a relaxed Na2RuO3 crystal.

Lattice parameters (Å, degrees): 5.797 9.376 5.418 90.00 112.63 90.00
Space group C2/c (No. 15)
Symmetry-distinct sites (fractional):
Na 0.000 0.082 0.250 [4 per cell]
Na 0.000 0.239 0.750 [4 per cell]
Ru 0.000 0.410 0.250 [4 per cell]
O 0.194 0.434 0.006 [8 per cell]
O 0.250 0.250 0.500 [4 per cell]



Structures ranked by computed energy, the most stable listed first: 1, 2.



1.
DFT (GGA-PBE) results for a relaxed NaSO4 crystal.

Lattice parameters (Å, degrees): 11.087 5.240 5.600 90.00 112.08 90.00
Space group C2/c (No. 15)
Symmetry-distinct sites (fractional):
Na 0.000 0.249 0.250 [4 per cell]
S 0.250 0.250 0.000 [4 per cell]
O 0.123 0.383 0.982 [8 per cell]
O 0.171 0.083 0.763 [8 per cell]



2.
DFT (GGA-PBE) results for a relaxed NaSO4 crystal.

Lattice parameters (Å, degrees): 5.053 5.053 6.557 90.00 90.00 90.00
Space group I-42m (No. 121)
Symmetry-distinct sites (fractional):
Na 0.000 0.000 0.000 [2 per cell]
S 0.000 0.000 0.500 [2 per cell]
O 0.171 0.171 0.372 [8 per cell]



Structures ranked by computed energy, the most stable listed first: 2, 1.



1.
DFT (GGA-PBE) results for a relaxed NaSO4 crystal.

Lattice parameters (Å, degrees): 4.897 5.755 6.154 101.31 102.76 98.41
Space group P-1 (No. 2)
Symmetry-distinct sites (fractional):
Na 0.026 0.312 0.203 [2 per cell]
S 0.390 0.222 0.750 [2 per cell]
O 0.230 0.108 0.887 [2 per cell]
O 0.234 0.354 0.602 [2 per cell]
O 0.320 0.650 0.130 [2 per cell]
O 0.419 0.967 0.584 [2 per cell]



2.
DFT (GGA-PBE) results for a relaxed NaSO4 crystal.

Lattice parameters (Å, degrees): 7.095 7.112 7.183 102.61 96.46 96.50
Space group P-1 (No. 2)
Symmetry-distinct sites (fractional):
Na 0.019 0.221 0.211 [2 per cell]
Na 0.372 0.162 0.651 [2 per cell]
S 0.097 0.773 0.296 [2 per cell]
S 0.482 0.717 0.799 [2 per cell]
O 0.029 0.182 0.549 [2 per cell]
O 0.033 0.860 0.135 [2 per cell]
O 0.079 0.559 0.238 [2 per cell]
O 0.298 0.860 0.375 [2 per cell]
O 0.331 0.843 0.781 [2 per cell]
O 0.370 0.249 0.326 [2 per cell]
O 0.394 0.510 0.739 [2 per cell]
O 0.428 0.241 0.997 [2 per cell]



Structures ranked by computed energy, the most stable listed first: 1, 2.